HgP2 | Alexandria | GGA-PBE | optimized geometry; VASP energy = -0.135 Ha/atom; ΔH_f (0 K) = 0.038 eV/atom
1.0
-2.537 1.229 1.698
-0.670 -1.141 3.014
3.224 6.595 3.229
Hg P
1 2
direct
0.413 0.137 0.381
0.455 0.626 0.818
0.017 0.344 0.976